Below is a relaxed CeYMg2Rh4 crystal, with properties calculated at the PBE level.

As for the raw total energy: -6.325 eV/atom. For the calculated formation energy, the calculation gives -701 meV/atom. The calculation puts the density of states at the Fermi level at 0.437 states/eV per atom.

```
CeYMg2Rh4
1.0
-3.840 -0.736 2.577
0.224 -2.707 3.814
0.463 4.942 6.355
Mg Rh Y Ce
2 4 1 1
Direct
0.747 0.747 0.759
0.253 0.253 0.241
0.379 0.379 0.864
0.126 0.126 0.621
0.874 0.874 0.379
0.621 0.621 0.136
0.000 0.000 0.000
0.500 0.500 0.500
```